A plane-wave DFT calculation with PBE-GGA was carried out for crystalline K2SrAg at its relaxed geometry.

abc: 6.2978 6.2978 8.4099
angles: 69.46 69.46 40.24
Atoms (fractional coordinates):
Ag 0.2739 0.2739 0.3754
Sr 0.5625 0.5625 0.3771
K 0.7416 0.7416 0.7130
K 0.9220 0.9220 0.0346

**Energy of formation**: 0.04 eV/atom
**DOS at the Fermi energy**: 0.5257 states/eV per atom
**Uncorrected energy**: -1.644 eV per atom
**Energy relative to the lowest polymorph listed for this composition**: 1.58 kcal/mol of atoms